1.
The following is a DFT calculation (PBE) of crystalline Er8TlSn5 at its relaxed geometry.

Summary:
* energy: -4.83 eV per atom
* formation enthalpy at 0 K: -0.621 eV per atom
* size of the total moment: 0.00 μB per formula unit

a = 7.983 Å, b = 7.983 Å, c = 7.983 Å
α = 109.53°, β = 109.35°, γ = 109.53°
Atoms (fractional coordinates):
Er: 0.127 0.752 0.021
Er: 0.979 0.106 0.731
Er: 0.765 0.248 0.372
Er: 0.628 0.393 0.876
Er: 0.483 0.607 0.235
Er: 0.625 0.894 0.873
Er: 0.269 0.248 0.375
Er: 0.124 0.752 0.517
Tl: 0.250 0.500 0.750
Sn: 0.002 0.376 0.127
Sn: 0.873 0.875 0.249
Sn: 0.751 0.624 0.626
Sn: 0.500 0.000 0.500
Sn: 0.374 0.125 0.998

2.
The following is a DFT calculation (PBE) of crystalline Er4TlSn at its relaxed geometry.

Summary:
* energy: -4.26 eV per atom
* formation enthalpy at 0 K: -0.157 eV per atom
* size of the total moment: 0.00 μB per formula unit

a = 6.070 Å, b = 7.379 Å, c = 8.912 Å
α = 101.25°, β = 109.91°, γ = 90.00°
Atoms (fractional coordinates):
Er: 0.552 0.061 0.857
Er: 0.695 0.439 0.143
Er: 0.448 0.939 0.143
Er: 0.305 0.561 0.857
Er: 0.979 0.894 0.707
Er: 0.272 0.606 0.293
Er: 0.021 0.106 0.293
Er: 0.728 0.394 0.707
Tl: 0.500 0.000 0.500
Tl: 0.000 0.500 0.500
Sn: 0.871 0.750 0.000
Sn: 0.129 0.250 0.000

3.
The following is a DFT calculation (PBE) of crystalline Er6Tl2Sn at its relaxed geometry.

Summary:
* energy: -4.16 eV per atom
* formation enthalpy at 0 K: -0.146 eV per atom
* size of the total moment: 0.00 μB per formula unit

a = 5.109 Å, b = 7.248 Å, c = 8.860 Å
α = 114.14°, β = 106.78°, γ = 90.00°
Atoms (fractional coordinates):
Er: 0.167 0.417 0.334
Er: 0.833 0.083 0.666
Er: 0.833 0.583 0.666
Er: 0.500 0.251 0.000
Er: 0.167 0.917 0.334
Er: 0.500 0.749 0.000
Tl: 0.666 0.666 0.333
Tl: 0.334 0.334 0.667
Sn: 0.000 0.000 0.000

4.
The following is a DFT calculation (PBE) of crystalline Er2TlSn at its relaxed geometry.

Summary:
* energy: -4.34 eV per atom
* formation enthalpy at 0 K: -0.462 eV per atom
* size of the total moment: 0.00 μB per formula unit

a = 4.288 Å, b = 4.962 Å, c = 4.962 Å
α = 90.00°, β = 90.00°, γ = 90.00°
Atoms (fractional coordinates):
Tl: 0.500 0.500 0.500
Sn: 0.500 0.000 0.000
Er: 0.000 0.000 0.500
Er: 0.000 0.500 0.000

5.
The following is a DFT calculation (PBE) of crystalline Er8TlSn2 at its relaxed geometry.

Summary:
* energy: -4.55 eV per atom
* formation enthalpy at 0 K: -0.289 eV per atom
* size of the total moment: 0.00 μB per formula unit

a = 5.029 Å, b = 6.795 Å, c = 9.980 Å
α = 103.30°, β = 104.59°, γ = 90.00°
Atoms (fractional coordinates):
Er: 0.407 0.522 0.815
Er: 0.658 0.001 0.317
Er: 0.784 0.674 0.569
Er: 0.978 0.237 0.956
Er: 0.216 0.326 0.431
Er: 0.342 0.999 0.683
Er: 0.593 0.478 0.185
Er: 0.022 0.763 0.044
Tl: 0.500 0.000 0.000
Sn: 0.818 0.241 0.637
Sn: 0.182 0.759 0.363

6.
The following is a DFT calculation (PBE) of crystalline Er3TlSn at its relaxed geometry.

Summary:
* energy: -4.15 eV per atom
* formation enthalpy at 0 K: -0.138 eV per atom
* size of the total moment: 0.43 μB per formula unit

a = 4.168 Å, b = 8.954 Å, c = 9.356 Å
α = 90.55°, β = 90.00°, γ = 103.46°
Atoms (fractional coordinates):
Er: 0.042 0.085 0.190
Er: 0.958 0.915 0.810
Er: 0.758 0.516 0.834
Er: 0.242 0.484 0.166
Er: 0.826 0.651 0.431
Er: 0.174 0.349 0.569
Tl: 0.125 0.250 0.896
Tl: 0.875 0.750 0.104
Sn: 0.355 0.710 0.662
Sn: 0.645 0.290 0.338

7.
The following is a DFT calculation (PBE) of crystalline ErTmTlSn at its relaxed geometry.

Summary:
* energy: -4.26 eV per atom
* formation enthalpy at 0 K: -0.408 eV per atom
* size of the total moment: 0.00 μB per formula unit

a = 5.312 Å, b = 5.312 Å, c = 5.312 Å
α = 60.00°, β = 60.00°, γ = 60.00°
Atoms (fractional coordinates):
Tl: 0.750 0.750 0.750
Tm: 0.500 0.500 0.500
Sn: 0.250 0.250 0.250
Er: 0.000 0.000 0.000

8.
The following is a DFT calculation (PBE) of crystalline YErTlSn at its relaxed geometry.

Summary:
* energy: -4.80 eV per atom
* formation enthalpy at 0 K: -0.447 eV per atom
* size of the total moment: 0.00 μB per formula unit

a = 5.343 Å, b = 5.343 Å, c = 5.343 Å
α = 60.00°, β = 60.00°, γ = 60.00°
Atoms (fractional coordinates):
Y: 0.000 0.000 0.000
Tl: 0.250 0.250 0.250
Sn: 0.750 0.750 0.750
Er: 0.500 0.500 0.500

9.
The following is a DFT calculation (PBE) of crystalline Er2Tm6Sn at its relaxed geometry.

Summary:
* energy: -4.54 eV per atom
* formation enthalpy at 0 K: -0.097 eV per atom
* size of the total moment: 0.00 μB per formula unit

a = 6.009 Å, b = 9.669 Å, c = 9.669 Å
α = 72.29°, β = 83.91°, γ = 83.91°
Atoms (fractional coordinates):
Er: 0.428 0.570 0.785
Er: 0.072 0.215 0.430
Er: 0.572 0.430 0.215
Er: 0.928 0.785 0.570
Tm: 0.480 0.689 0.418
Tm: 0.020 0.582 0.311
Tm: 0.520 0.311 0.582
Tm: 0.980 0.418 0.689
Tm: 0.637 0.068 0.350
Tm: 0.863 0.650 0.932
Tm: 0.363 0.932 0.650
Tm: 0.137 0.350 0.068
Tm: 0.334 0.779 0.016
Tm: 0.166 0.984 0.221
Tm: 0.666 0.221 0.984
Tm: 0.834 0.016 0.779
Sn: 0.250 0.128 0.872
Sn: 0.750 0.872 0.128

10.
The following is a DFT calculation (PBE) of crystalline Er2TmSn2 at its relaxed geometry.

Summary:
* energy: -4.85 eV per atom
* formation enthalpy at 0 K: -0.531 eV per atom
* size of the total moment: 0.00 μB per formula unit

a = 5.161 Å, b = 5.161 Å, c = 6.483 Å
α = 66.54°, β = 66.54°, γ = 59.99°
Atoms (fractional coordinates):
Er: 0.208 0.708 0.376
Er: 0.792 0.292 0.624
Tm: 0.000 0.500 0.000
Sn: 0.593 0.093 0.221
Sn: 0.407 0.907 0.779

11.
The following is a DFT calculation (PBE) of crystalline Er8TmSn2 at its relaxed geometry.

Summary:
* energy: -4.59 eV per atom
* formation enthalpy at 0 K: -0.139 eV per atom
* size of the total moment: 0.00 μB per formula unit

a = 5.678 Å, b = 8.596 Å, c = 8.596 Å
α = 119.23°, β = 102.58°, γ = 102.58°
Atoms (fractional coordinates):
Er: 0.883 0.906 0.677
Er: 0.883 0.677 0.906
Er: 0.298 0.594 0.594
Er: 0.500 0.780 0.220
Er: 0.500 0.220 0.780
Er: 0.702 0.406 0.406
Er: 0.117 0.323 0.094
Er: 0.117 0.094 0.323
Tm: 0.500 0.000 0.000
Sn: 0.000 0.306 0.694
Sn: 0.000 0.694 0.306

12.
The following is a DFT calculation (PBE) of crystalline Er2TmSn9 at its relaxed geometry.

Summary:
* energy: -4.52 eV per atom
* formation enthalpy at 0 K: -0.381 eV per atom
* size of the total moment: 0.00 μB per formula unit

a = 4.782 Å, b = 4.782 Å, c = 13.611 Å
α = 90.00°, β = 90.00°, γ = 90.00°
Atoms (fractional coordinates):
Er: 0.000 0.000 0.334
Er: 0.000 0.000 0.666
Tm: 0.000 0.000 0.000
Sn: 0.500 0.500 0.000
Sn: 0.500 0.500 0.333
Sn: 0.500 0.500 0.667
Sn: 0.500 0.000 0.166
Sn: 0.500 0.000 0.500
Sn: 0.500 0.000 0.834
Sn: 0.000 0.500 0.166
Sn: 0.000 0.500 0.500
Sn: 0.000 0.500 0.834

13.
The following is a DFT calculation (PBE) of crystalline ErTm7Sn2 at its relaxed geometry.

Summary:
* energy: -4.20 eV per atom
* formation enthalpy at 0 K: 0.191 eV per atom
* size of the total moment: 0.77 μB per formula unit

a = 5.380 Å, b = 8.828 Å, c = 8.828 Å
α = 118.68°, β = 90.00°, γ = 90.00°
Atoms (fractional coordinates):
Er: 0.000 0.000 0.000
Tm: 0.000 0.774 0.226
Tm: 0.000 0.226 0.774
Tm: 0.500 0.058 0.304
Tm: 0.500 0.942 0.696
Tm: 0.500 0.304 0.058
Tm: 0.500 0.696 0.942
Tm: 0.500 0.500 0.500
Sn: 0.500 0.696 0.304
Sn: 0.500 0.304 0.696

14.
The following is a DFT calculation (PBE) of crystalline ErTmSn at its relaxed geometry.

Summary:
* energy: -4.85 eV per atom
* formation enthalpy at 0 K: -0.499 eV per atom
* size of the total moment: 0.00 μB per formula unit

a = 4.871 Å, b = 6.641 Å, c = 6.504 Å
α = 119.36°, β = 90.00°, γ = 111.51°
Atoms (fractional coordinates):
Er: 0.500 0.000 0.743
Er: 0.500 0.000 0.257
Tm: 0.174 0.348 0.175
Tm: 0.826 0.652 0.825
Sn: 0.158 0.317 0.659
Sn: 0.842 0.683 0.341

15.
The following is a DFT calculation (PBE) of crystalline Er6Tm2Sn at its relaxed geometry.

Summary:
* energy: -4.62 eV per atom
* formation enthalpy at 0 K: -0.143 eV per atom
* size of the total moment: 0.00 μB per formula unit

a = 4.762 Å, b = 10.528 Å, c = 10.527 Å
α = 90.00°, β = 90.00°, γ = 90.00°
Atoms (fractional coordinates):
Er: 0.000 0.000 0.164
Er: 0.000 0.664 0.500
Er: 0.000 0.661 0.839
Er: 0.500 0.161 0.661
Er: 0.500 0.164 0.000
Er: 0.500 0.500 0.336
Er: 0.000 0.000 0.836
Er: 0.000 0.336 0.500
Er: 0.000 0.339 0.161
Er: 0.500 0.839 0.339
Er: 0.500 0.836 0.000
Er: 0.500 0.500 0.664
Tm: 0.000 0.338 0.838
Tm: 0.500 0.838 0.662
Tm: 0.500 0.162 0.338
Tm: 0.000 0.662 0.162
Sn: 0.500 0.500 0.000
Sn: 0.000 0.000 0.500

16.
The following is a DFT calculation (PBE) of crystalline Er2TmSn at its relaxed geometry.

Summary:
* energy: -4.37 eV per atom
* formation enthalpy at 0 K: 0.033 eV per atom
* size of the total moment: 0.77 μB per formula unit

a = 3.439 Å, b = 3.439 Å, c = 11.842 Å
α = 81.65°, β = 81.65°, γ = 60.00°
Atoms (fractional coordinates):
Tm: 0.000 0.000 0.000
Sn: 0.500 0.500 0.500
Er: 0.095 0.095 0.716
Er: 0.905 0.905 0.284

17.
The following is a DFT calculation (PBE) of crystalline Er3Tm5Sn at its relaxed geometry.

Summary:
* energy: -4.07 eV per atom
* formation enthalpy at 0 K: 0.378 eV per atom
* size of the total moment: 0.00 μB per formula unit

a = 7.951 Å, b = 7.951 Å, c = 10.794 Å
α = 84.66°, β = 84.66°, γ = 60.55°
Atoms (fractional coordinates):
Er: 0.666 0.666 0.786
Er: 0.733 0.733 0.467
Er: 0.000 0.000 0.000
Er: 0.000 0.000 0.500
Er: 0.334 0.334 0.214
Er: 0.267 0.267 0.533
Tm: 0.930 0.322 0.231
Tm: 0.334 0.666 0.000
Tm: 0.760 0.760 0.047
Tm: 0.507 0.507 0.354
Tm: 0.493 0.493 0.646
Tm: 0.240 0.240 0.953
Tm: 0.322 0.930 0.231
Tm: 0.666 0.334 0.000
Tm: 0.070 0.678 0.769
Tm: 0.678 0.070 0.769
Sn: 0.095 0.095 0.739
Sn: 0.905 0.905 0.261

18.
The following is a DFT calculation (PBE) of crystalline ErTmSn2 at its relaxed geometry.

Summary:
* energy: -4.76 eV per atom
* formation enthalpy at 0 K: -0.497 eV per atom
* size of the total moment: 0.00 μB per formula unit

a = 3.777 Å, b = 3.777 Å, c = 9.237 Å
α = 78.20°, β = 78.20°, γ = 60.00°
Atoms (fractional coordinates):
Tm: 0.500 0.500 0.500
Sn: 0.750 0.750 0.749
Sn: 0.250 0.250 0.251
Er: 0.000 0.000 0.000

19.
The following is a DFT calculation (PBE) of crystalline ErTmSn at its relaxed geometry.

Summary:
* energy: -4.91 eV per atom
* formation enthalpy at 0 K: -0.562 eV per atom
* size of the total moment: 0.01 μB per formula unit

a = 4.535 Å, b = 4.535 Å, c = 8.811 Å
α = 104.91°, β = 104.91°, γ = 90.00°
Atoms (fractional coordinates):
Er: 0.174 0.174 0.349
Er: 0.826 0.826 0.651
Tm: 0.000 0.500 0.000
Tm: 0.500 0.000 0.000
Sn: 0.363 0.363 0.726
Sn: 0.637 0.637 0.274

20.
The following is a DFT calculation (PBE) of crystalline ErTm2Sn at its relaxed geometry.

Summary:
* energy: -4.77 eV per atom
* formation enthalpy at 0 K: -0.393 eV per atom
* size of the total moment: 0.44 μB per formula unit

a = 4.753 Å, b = 4.755 Å, c = 4.755 Å
α = 90.00°, β = 90.00°, γ = 90.00°
Atoms (fractional coordinates):
Tm: 0.000 0.000 0.500
Tm: 0.000 0.500 0.000
Sn: 0.500 0.000 0.000
Er: 0.500 0.500 0.500

21.
The following is a DFT calculation (PBE) of crystalline ErTmSn2 at its relaxed geometry.

Summary:
* energy: -4.85 eV per atom
* formation enthalpy at 0 K: -0.588 eV per atom
* size of the total moment: 0.00 μB per formula unit

a = 3.451 Å, b = 3.451 Å, c = 8.689 Å
α = 90.00°, β = 90.00°, γ = 90.00°
Atoms (fractional coordinates):
Tm: 0.500 0.500 0.500
Sn: 0.000 0.000 0.749
Sn: 0.000 0.000 0.251
Er: 0.500 0.500 0.000

22.
The following is a DFT calculation (PBE) of crystalline Er3Tm6Sn at its relaxed geometry.

Summary:
* energy: -4.54 eV per atom
* formation enthalpy at 0 K: -0.083 eV per atom
* size of the total moment: 0.00 μB per formula unit

a = 3.508 Å, b = 12.631 Å, c = 15.686 Å
α = 121.13°, β = 90.00°, γ = 90.00°
Atoms (fractional coordinates):
Er: 0.750 0.389 0.897
Er: 0.250 0.611 0.103
Er: 0.750 0.620 0.497
Er: 0.250 0.380 0.503
Er: 0.750 0.124 0.092
Er: 0.250 0.876 0.908
Tm: 0.750 0.593 0.710
Tm: 0.250 0.407 0.290
Tm: 0.750 0.858 0.107
Tm: 0.250 0.142 0.893
Tm: 0.750 0.381 0.100
Tm: 0.250 0.619 0.900
Tm: 0.750 0.666 0.309
Tm: 0.250 0.334 0.691
Tm: 0.750 0.114 0.477
Tm: 0.250 0.886 0.523
Tm: 0.750 0.879 0.717
Tm: 0.250 0.121 0.283
Sn: 0.750 0.117 0.696
Sn: 0.250 0.883 0.304

23.
The following is a DFT calculation (PBE) of crystalline Er2Tm2Sn at its relaxed geometry.

Summary:
* energy: -4.20 eV per atom
* formation enthalpy at 0 K: 0.219 eV per atom
* size of the total moment: 0.00 μB per formula unit

a = 4.289 Å, b = 4.289 Å, c = 8.917 Å
α = 103.92°, β = 103.92°, γ = 90.00°
Atoms (fractional coordinates):
Er: 0.750 0.250 0.500
Er: 0.250 0.750 0.500
Tm: 0.412 0.412 0.824
Tm: 0.588 0.588 0.176
Sn: 0.000 0.000 0.000